1.
This record from Alexandria describes LiHg2Ge2 after structural relaxation. The functional is PBE.

a b c (Å): 7.277 7.277 4.118
angles (deg): 90.00 90.00 90.00
Space group P4/mbm (No. 127)
Unique sites:
Li: 0.000 0.000 0.000 (multiplicity 2)
Hg: 0.185 0.315 0.500 (multiplicity 4)
Ge: 0.125 0.625 0.000 (multiplicity 4)

Mass density   8428 kg/m3
E above lowest polymorph   16 kJ/mol of formula units
Energy of formation from the pure elements   0.082 eV/atom
D(E_F)   0.436 states/eV/atom

2.
This record from Alexandria describes GdPaNi after structural relaxation. The functional is PBE.

a b c (Å): 3.487 3.487 11.264
angles (deg): 90.00 90.00 90.00
Space group I4mm (No. 107)
Unique sites:
Gd: 0.000 0.000 0.000 (multiplicity 2)
Pa: 0.000 0.000 0.289 (multiplicity 2)
Ni: 0.000 0.000 0.690 (multiplicity 2)

Mass density   10840 kg/m3
Energy of formation from the pure elements   -0.120 eV/atom
D(E_F)   1.130 states/eV/atom

3.
This record from Alexandria describes PmDy5Er2Th after structural relaxation. The functional is PBE.

a b c (Å): 5.717 21.256 9.698
angles (deg): 90.00 90.00 90.00
Space group Cmc2_1 (No. 36)
Unique sites:
Pm: 0.000 0.096 0.000 (multiplicity 4)
Dy: 0.000 0.029 0.681 (multiplicity 4)
Dy: 0.000 0.106 0.386 (multiplicity 4)
Dy: 0.000 0.195 0.710 (multiplicity 4)
Dy: 0.000 0.232 0.091 (multiplicity 4)
Dy: 0.000 0.486 0.409 (multiplicity 4)
Er: 0.000 0.368 0.717 (multiplicity 4)
Er: 0.000 0.387 0.100 (multiplicity 4)
Th: 0.000 0.310 0.401 (multiplicity 4)

Mass density   8590 kg/m3
Energy of formation from the pure elements   0.164 eV/atom
D(E_F)   1.323 states/eV/atom

So what do the calculations give for size of the total moment? Going down the list: 0.0 14.5 0.0 μB/cell.